No. 1
The following is a DFT calculation (PBE) of a relaxed structure of MgFeAsBr2.

Results
DFT total energy   -17.440 eV per formula unit
Symmetry   P4/mmm

abc: 5.084 5.084 4.477
angles: 90.00 90.00 90.00
Atoms (fractional coordinates):
Mg1 0.000 0.000 0.000
Fe1 0.500 0.500 0.500
As1 0.500 0.500 0.000
Br1 0.000 0.500 0.500
Br2 0.500 0.000 0.500

No. 2
The following is a DFT calculation (PBE) of a relaxed structure of TbNdCdSi.

Results
DFT total energy   -17.275 eV per formula unit
Symmetry   F-43m

abc: 5.197 5.197 5.197
angles: 60.00 60.00 60.00
Atoms (fractional coordinates):
Tb1 0.000 0.000 0.000
Nd1 0.500 0.500 0.500
Cd1 0.750 0.750 0.750
Si1 0.250 0.250 0.250

No. 3
The following is a DFT calculation (PBE) of a relaxed structure of AcPmDy2Er.

Results
Formation enthalpy at 0 K   391 meV per atom
Symmetry   Cmcm

abc: 9.364 9.364 6.464
angles: 90.00 90.00 139.59
Atoms (fractional coordinates):
Ac1 0.159 0.841 0.750
Ac2 0.841 0.159 0.250
Pm1 0.347 0.653 0.750
Pm2 0.653 0.347 0.250
Dy1 0.252 0.252 0.000
Dy2 0.252 0.252 0.500
Dy3 0.748 0.748 0.000
Dy4 0.748 0.748 0.500
Er1 0.249 0.751 0.250
Er2 0.751 0.249 0.750

No. 4
The following is a DFT calculation (PBE) of a relaxed structure of Al5Hg3.

Results
Formation enthalpy at 0 K   198 meV per atom
Symmetry   Cmmm

abc: 5.963 5.963 4.455
angles: 90.00 90.00 93.33
Atoms (fractional coordinates):
Al1 0.000 0.000 0.000
Al2 0.000 0.500 0.000
Al3 0.261 0.261 0.500
Al4 0.500 0.000 0.000
Al5 0.739 0.739 0.500
Hg1 0.228 0.772 0.500
Hg2 0.500 0.500 0.000
Hg3 0.772 0.228 0.500

No. 5
The following is a DFT calculation (PBE) of a relaxed structure of Cs3NbB.

Results
Formation enthalpy at 0 K   2097 meV per atom
Symmetry   Pm-3m

abc: 6.595 6.595 6.595
angles: 90.00 90.00 90.00
Atoms (fractional coordinates):
Cs1 0.000 0.000 0.500
Cs2 0.000 0.500 0.000
Cs3 0.500 0.000 0.000
Nb1 0.000 0.000 0.000
B1 0.500 0.500 0.500

No. 6
The following is a DFT calculation (PBE) of a relaxed structure of PmTi2Pt2.

Results
Formation enthalpy at 0 K   -887 meV per atom
Symmetry   I4/mmm

abc: 6.135 6.135 6.135
angles: 138.05 138.05 60.82
Atoms (fractional coordinates):
Pm1 0.000 0.000 0.000
Ti1 0.250 0.750 0.500
Ti2 0.750 0.250 0.500
Pt1 0.374 0.374 0.000
Pt2 0.626 0.626 0.000

No. 7
The following is a DFT calculation (PBE) of a relaxed structure of TbPuI6.

Results
DFT total energy   -37.589 eV per formula unit
Symmetry   R-3

abc: 8.342 8.342 8.342
angles: 54.81 54.81 54.81
Atoms (fractional coordinates):
Tb1 0.000 0.000 0.000
Pu1 0.500 0.500 0.500
I1 0.090 0.750 0.405
I2 0.250 0.595 0.910
I3 0.405 0.090 0.750
I4 0.595 0.910 0.250
I5 0.750 0.405 0.090
I6 0.910 0.250 0.595

No. 8
The following is a DFT calculation (PBE) of a relaxed structure of NaPrZnIn.

Results
Formation enthalpy at 0 K   -210 meV per atom
Symmetry   F-43m

abc: 5.266 5.266 5.266
angles: 60.00 60.00 60.00
Atoms (fractional coordinates):
Na1 0.000 0.000 0.000
Pr1 0.500 0.500 0.500
Zn1 0.250 0.250 0.250
In1 0.750 0.750 0.750

No. 9
The following is a DFT calculation (PBE) of a relaxed structure of NaScGaTe3.

Results
DFT total energy   -24.885 eV per formula unit
Symmetry   P2_1/m

abc: 8.793 4.285 12.051
angles: 90.00 110.44 90.00
Atoms (fractional coordinates):
Na1 0.180 0.250 0.143
Na2 0.820 0.750 0.857
Sc1 0.335 0.750 0.873
Sc2 0.665 0.250 0.127
Ga1 0.046 0.250 0.614
Ga2 0.954 0.750 0.386
Te1 0.089 0.250 0.852
Te2 0.241 0.750 0.604
Te3 0.437 0.750 0.130
Te4 0.563 0.250 0.870
Te5 0.759 0.250 0.396
Te6 0.911 0.750 0.148

No. 10
The following is a DFT calculation (PBE) of a relaxed structure of Tb4Sm5Th.

Results
Formation enthalpy at 0 K   41 meV per atom
Symmetry   C2/m

abc: 8.705 8.705 11.534
angles: 108.34 108.34 23.54
Atoms (fractional coordinates):
Tb1 0.083 0.083 0.297
Tb2 0.395 0.395 0.201
Tb3 0.605 0.605 0.799
Tb4 0.917 0.917 0.703
Sm1 0.191 0.191 0.083
Sm2 0.203 0.203 0.611
Sm3 0.500 0.500 0.000
Sm4 0.797 0.797 0.389
Sm5 0.809 0.809 0.917
Th1 0.500 0.500 0.500

No. 11
The following is a DFT calculation (PBE) of a relaxed structure of BaCuAg.

Results
Formation enthalpy at 0 K   54 meV per atom
Symmetry   F-43m

abc: 5.063 5.063 5.063
angles: 60.00 60.00 60.00
Atoms (fractional coordinates):
Ba1 0.000 0.000 0.000
Cu1 0.750 0.750 0.750
Ag1 0.500 0.500 0.500